No. 1
Density functional theory data (GGA-PBE) for a geometry-optimized NaRuN3 structure.

Lattice parameters (Å, degrees): 3.857 3.857 3.857 90.00 90.00 90.00
Fractional coordinates of all 5 atoms:
Na (0.000, 0.000, 0.000)
Ru (0.500, 0.500, 0.500)
N (0.000, 0.000, 0.500)
N (0.000, 0.500, 0.000)
N (0.500, 0.000, 0.000)

Summary:
E_form (uncorrected): 3248 meV per atom
Uncorrected energy: -3.87 eV per atom
Mass density: 4.81 Mg/m³
SG: Pm-3m (221)


No. 2
Density functional theory data (GGA-PBE) for a geometry-optimized Li5GaHg2 structure.

Lattice parameters (Å, degrees): 4.728 4.728 12.355 90.00 90.00 90.00
Fractional coordinates of all 16 atoms:
Li (0.000, 0.000, 0.000)
Li (0.000, 0.500, 0.122)
Li (0.000, 0.500, 0.378)
Li (0.000, 0.500, 0.622)
Li (0.000, 0.500, 0.878)
Li (0.500, 0.000, 0.122)
Li (0.500, 0.000, 0.378)
Li (0.500, 0.000, 0.622)
Li (0.500, 0.000, 0.878)
Li (0.500, 0.500, 0.500)
Ga (0.000, 0.000, 0.500)
Ga (0.500, 0.500, 0.000)
Hg (0.000, 0.000, 0.250)
Hg (0.000, 0.000, 0.750)
Hg (0.500, 0.500, 0.250)
Hg (0.500, 0.500, 0.750)

Summary:
Uncorrected energy: -1.94 eV per atom
Mass density: 6.08 Mg/m³
E_form: -0.2944 eV/atom
SG: I4/mmm (139)


No. 3
Density functional theory data (GGA-PBE) for a geometry-optimized LaTeIO4 structure.

Lattice parameters (Å, degrees): 6.944 6.944 7.231 103.00 103.00 65.12
Fractional coordinates of all 14 atoms:
La (0.247, 0.247, 0.356)
La (0.753, 0.753, 0.644)
Te (0.129, 0.129, 0.755)
Te (0.871, 0.871, 0.245)
I (0.493, 0.493, 0.752)
I (0.507, 0.507, 0.248)
O (0.014, 0.381, 0.640)
O (0.035, 0.035, 0.308)
O (0.192, 0.192, 0.018)
O (0.381, 0.014, 0.640)
O (0.619, 0.986, 0.360)
O (0.808, 0.808, 0.982)
O (0.965, 0.965, 0.692)
O (0.986, 0.619, 0.360)

Summary:
E_form (uncorrected): -1634 meV per atom
Uncorrected energy: -5.84 eV per atom
Mass density: 4.98 Mg/m³
SG: C2/m (12)


No. 4
Density functional theory data (GGA-PBE) for a geometry-optimized AcPmSn4 structure.

Lattice parameters (Å, degrees): 6.312 6.312 6.312 60.00 60.00 60.00
Fractional coordinates of all 6 atoms:
Ac (0.000, 0.000, 0.000)
Pm (0.750, 0.750, 0.750)
Sn (0.376, 0.376, 0.376)
Sn (0.376, 0.376, 0.873)
Sn (0.376, 0.873, 0.376)
Sn (0.873, 0.376, 0.376)

Summary:
Uncorrected energy: -4.52 eV per atom
Mass density: 7.91 Mg/m³
E above lowest polymorph: 14.8 kJ/mol of atoms
E_form: -0.3776 eV/atom
SG: F-43m (216)


No. 5
Density functional theory data (GGA-PBE) for a geometry-optimized LiW2Se structure.

Lattice parameters (Å, degrees): 2.871 4.227 5.211 90.00 90.00 90.00
Fractional coordinates of all 4 atoms:
Li (0.000, 0.000, 0.000)
W (0.500, 0.500, 0.246)
W (0.500, 0.500, 0.754)
Se (0.000, 0.000, 0.500)

Summary:
E_form (uncorrected): 748 meV per atom
Uncorrected energy: -7.08 eV per atom
Mass density: 11.91 Mg/m³
SG: Pmmm (47)


No. 6
Density functional theory data (GGA-PBE) for a geometry-optimized Rb3Hg2S4 structure.

Lattice parameters (Å, degrees): 9.568 9.568 9.289 118.51 118.51 24.67
Fractional coordinates of all 9 atoms:
Rb (0.000, 0.000, 0.000)
Rb (0.117, 0.117, 0.657)
Rb (0.883, 0.883, 0.343)
Hg (0.338, 0.338, 0.659)
Hg (0.662, 0.662, 0.341)
S (0.226, 0.226, 0.283)
S (0.475, 0.475, 0.688)
S (0.525, 0.525, 0.312)
S (0.774, 0.774, 0.717)

Summary:
E_form (uncorrected): -597 meV per atom
Uncorrected energy: -2.82 eV per atom
Mass density: 4.21 Mg/m³
E above lowest polymorph: 0.0 kJ/mol of atoms
SG: C2/m (12)


No. 7
Density functional theory data (GGA-PBE) for a geometry-optimized NaCaHfMoPd structure.

Lattice parameters (Å, degrees): 9.028 4.863 5.418 90.00 111.10 90.00
Fractional coordinates of all 10 atoms:
Na (0.000, 0.000, 0.000)
Na (0.500, 0.500, 0.000)
Ca (0.339, 0.000, 0.039)
Ca (0.839, 0.500, 0.039)
Hf (0.249, 0.500, 0.432)
Hf (0.749, 0.000, 0.432)
Mo (0.071, 0.500, 0.693)
Mo (0.571, 0.000, 0.693)
Pd (0.076, 0.000, 0.524)
Pd (0.576, 0.500, 0.524)

Summary:
Uncorrected energy: -5.44 eV per atom
Mass density: 6.64 Mg/m³
E above lowest polymorph: 36.8 kJ/mol of atoms
E_form: 0.4213 eV/atom
SG: Cm (8)


No. 8
Density functional theory data (GGA-PBE) for a geometry-optimized AcSnSb3Pb structure.

Lattice parameters (Å, degrees): 9.002 4.446 11.133 90.00 107.35 90.00
Fractional coordinates of all 12 atoms:
Ac (0.062, 0.250, 0.251)
Ac (0.938, 0.750, 0.749)
Sn (0.374, 0.750, 0.034)
Sn (0.626, 0.250, 0.966)
Sb (0.099, 0.250, 0.573)
Sb (0.142, 0.250, 0.970)
Sb (0.362, 0.750, 0.307)
Sb (0.638, 0.250, 0.693)
Sb (0.858, 0.750, 0.030)
Sb (0.901, 0.750, 0.427)
Pb (0.391, 0.750, 0.595)
Pb (0.609, 0.250, 0.405)

Summary:
E_form (uncorrected): -335 meV per atom
Uncorrected energy: -4.37 eV per atom
Mass density: 7.17 Mg/m³
SG: P2_1/m (11)